Density functional theory data (PBE) for Zr2TaZn after structural relaxation.

The value obtained for the density of states at the Fermi level is 0.825 states/eV/atom. The value obtained for the total moment is 0.00 μB/cell. For the formation energy, the calculation gives -0.003 eV per atom.

It has space group I-4m2 (No. 119), with a = 4.188 Å, b = 4.188 Å, c = 8.948 Å, α = 90.00°, β = 90.00° and γ = 90.00°. Symmetry generates all atoms from Zr at (0.000, 0.000, 0.000), Zr at (0.000, 0.500, 0.250), Ta at (0.000, 0.500, 0.750) and Zn at (0.000, 0.000, 0.500).